# 1
Below is a PBEsol-optimized structure of CeInAu, with properties calculated at the meta-GGA SCAN level.

The value obtained for the formation energy is -0.8500 eV/atom. As for the calculated total energy: -49.886 eV per atom.

The structure belongs to space group P-62m (No. 189); the cell edges are 7.5132, 7.5132 and 4.2732 Å and the angles 90.00°, 90.00° and 120.00°. Symmetry generates all atoms from Ce at (0.0000, 0.5833, 0.0000), In at (0.0000, 0.2492, 0.5000), Au at (0.0000, 0.0000, 0.0000) and Au at (0.3333, 0.6667, 0.5000).

# 2
Below is a PBEsol-optimized structure of Ce2InAu2, with properties calculated at the meta-GGA SCAN level.

The value obtained for the formation energy is -0.8760 eV/atom. As for the calculated total energy: -53.042 eV per atom.

The structure belongs to space group P4/mbm (No. 127); the cell edges are 7.918, 7.918 and 3.798 Å and the angles 90.00°, 90.00° and 90.00°. Symmetry generates all atoms from Ce at (0.174, 0.326, 0.000), In at (0.000, 0.000, 0.500) and Au at (0.127, 0.627, 0.500).

# 3
Below is a PBEsol-optimized structure of Ce3YIn4Au8, with properties calculated at the meta-GGA SCAN level.

The value obtained for the formation energy is -0.7986 eV/atom. As for the calculated total energy: -53.820 eV per atom.

The structure belongs to space group R-3m (No. 166, hexagonal axes); the cell edges are 4.9092, 4.9092 and 48.3042 Å and the angles 90.00°, 90.00° and 120.00°. Symmetry generates all atoms from Ce at (0.0000, 0.0000, 0.0000), Ce at (0.0000, 0.0000, 0.2495), Y at (0.0000, 0.0000, 0.5000), In at (0.0000, 0.0000, 0.1253), In at (0.0000, 0.0000, 0.3754), Au at (0.0000, 0.0000, 0.0625), Au at (0.0000, 0.0000, 0.1863), Au at (0.0000, 0.0000, 0.3121) and Au at (0.0000, 0.0000, 0.4389).

# 4
Below is a PBEsol-optimized structure of CeMgAu, with properties calculated at the meta-GGA SCAN level.

The value obtained for the formation energy is -0.7524 eV/atom. As for the calculated total energy: -40.317 eV per atom.

The structure belongs to space group P-62m (No. 189); the cell edges are 7.5801, 7.5801 and 4.1346 Å and the angles 90.00°, 90.00° and 120.00°. Symmetry generates all atoms from Ce at (0.0000, 0.5832, 0.0000), Mg at (0.0000, 0.2428, 0.5000), Au at (0.0000, 0.0000, 0.0000) and Au at (0.3333, 0.6667, 0.5000).

# 5
Below is a PBEsol-optimized structure of Ce2P3Au, with properties calculated at the meta-GGA SCAN level.

The value obtained for the formation energy is -1.1782 eV/atom. As for the calculated total energy: -32.758 eV per atom.

The structure belongs to space group Pnma (No. 62); the cell edges are 7.556, 4.074 and 15.505 Å and the angles 90.00°, 90.00° and 90.00°. Symmetry generates all atoms from Ce at (0.108, 0.250, 0.203), Ce at (0.241, 0.250, 0.466), P at (0.021, 0.250, 0.910), P at (0.120, 0.750, 0.581), P at (0.204, 0.250, 0.801) and Au at (0.027, 0.250, 0.654).

# 6
Below is a PBEsol-optimized structure of CePt2Au3, with properties calculated at the meta-GGA SCAN level.

The value obtained for the formation energy is -0.6886 eV/atom. As for the calculated total energy: -66.092 eV per atom.

The structure belongs to space group Imm2 (No. 44); the cell edges are 5.373, 5.417 and 7.553 Å and the angles 90.00°, 90.00° and 90.00°. Symmetry generates all atoms from Ce at (0.000, 0.000, 0.000), Pt at (0.000, 0.249, 0.368), Au at (0.000, 0.500, 0.742) and Au at (0.249, 0.000, 0.617).

# 7
Below is a PBEsol-optimized structure of CeUPt8Au2, with properties calculated at the meta-GGA SCAN level.

The value obtained for the formation energy is -0.7333 eV/atom. As for the calculated total energy: -71.396 eV per atom.

The structure belongs to space group R3m (No. 160, hexagonal axes); the cell edges are 5.2714, 5.2714 and 25.8354 Å and the angles 90.00°, 90.00° and 120.00°. Symmetry generates all atoms from Ce at (0.0000, 0.0000, 0.0000), U at (0.0000, 0.0000, 0.4998), Pt at (0.0000, 0.0000, 0.3123), Pt at (0.0000, 0.0000, 0.8122), Pt at (0.9999, 0.5000, 0.0634), Pt at (0.1679, 0.3357, 0.8951), Au at (0.0000, 0.0000, 0.1256) and Au at (0.0000, 0.0000, 0.6240).

# 8
Below is a PBEsol-optimized structure of Ce3Sb3Au2, with properties calculated at the meta-GGA SCAN level.

As for the calculated total energy: -49.068 eV per atom. The formation energy from raw total energies comes out at -1095 meV per atom.

The structure belongs to space group P6_3/mmc (No. 194); the cell edges are 4.5773, 4.5773 and 23.1438 Å and the angles 90.00°, 90.00° and 120.00°. Symmetry generates all atoms from Ce at (0.3333, 0.6667, 0.0749), Ce at (0.3333, 0.6667, 0.2500), Sb at (0.0000, 0.0000, 0.0000), Sb at (0.3333, 0.6667, 0.6532) and Au at (0.0000, 0.0000, 0.1865).

# 9
Below is a PBEsol-optimized structure of CeSb2Au, with properties calculated at the meta-GGA SCAN level.

As for the calculated total energy: -47.859 eV per atom. The formation energy from raw total energies comes out at -799 meV per atom.

The structure belongs to space group P4/nmm (No. 129, origin choice 2); the cell edges are 4.397, 4.397 and 9.824 Å and the angles 90.00°, 90.00° and 90.00°. Symmetry generates all atoms from Ce at (0.250, 0.250, 0.247), Sb at (0.250, 0.250, 0.687), Sb at (0.250, 0.750, 0.000) and Au at (0.250, 0.750, 0.500).

# 10
Below is a PBEsol-optimized structure of Ce2SbAu3, with properties calculated at the meta-GGA SCAN level.

As for the calculated total energy: -56.584 eV per atom. The formation energy from raw total energies comes out at -941 meV per atom.

The structure belongs to space group Pmm2 (No. 25); the cell edges are 3.464, 4.703 and 8.253 Å and the angles 90.00°, 90.00° and 90.00°. Symmetry generates all atoms from Ce at (0.000, 0.000, 0.000), Ce at (0.000, 0.500, 0.466), Sb at (0.500, 0.500, 0.815), Au at (0.500, 0.000, 0.317), Au at (0.500, 0.000, 0.645) and Au at (0.500, 0.500, 0.151).

# 11
Below is a PBEsol-optimized structure of CeSi2Au2, with properties calculated at the meta-GGA SCAN level.

As for the calculated total energy: -41.298 eV per atom. The formation energy from raw total energies comes out at -716 meV per atom.

The structure belongs to space group I4/mmm (No. 139); the cell edges are 4.258, 4.258 and 10.136 Å and the angles 90.00°, 90.00° and 90.00°. Symmetry generates all atoms from Ce at (0.000, 0.000, 0.000), Si at (0.000, 0.000, 0.386) and Au at (0.000, 0.500, 0.250).

# 12
Below is a PBEsol-optimized structure of CeSi2Au4, with properties calculated at the meta-GGA SCAN level.

As for the calculated total energy: -49.323 eV per atom. The formation energy from raw total energies comes out at -577 meV per atom.

The structure belongs to space group Cmmm (No. 65); the cell edges are 4.288, 13.724 and 4.280 Å and the angles 90.00°, 90.00° and 90.00°. Symmetry generates all atoms from Ce at (0.000, 0.000, 0.000), Si at (0.000, 0.415, 0.500), Au at (0.000, 0.175, 0.500) and Au at (0.000, 0.325, 0.000).